Entry P
First-principles (GGA-PBE) data for an optimized crystal structure of ScHgW, as listed in Alexandria.

Geometry as CIF:
```
data_ScHgW
_chemical_formula_sum 'Sc1 Hg1 W1'
_symmetry_space_group_name_H-M 'P 1'
_symmetry_Int_Tables_number 1
_cell_length_a 7.214
_cell_length_b 7.124
_cell_length_c 2.909
_cell_angle_alpha 80.04
_cell_angle_beta 76.57
_cell_angle_gamma 23.40
loop_
_symmetry_equiv_pos_as_xyz
'x,y,z'
loop_
_atom_site_label
_atom_site_type_symbol
_atom_site_fract_x
_atom_site_fract_y
_atom_site_fract_z
Sc1 Sc 0.328 0.328 0.672
W1 W 0.670 0.670 0.330
Hg1 Hg 0.002 0.002 0.998
```

Entry Q
First-principles (GGA-PBE) data for an optimized crystal structure of ScHgW, as listed in Alexandria.

Geometry as CIF:
```
data_ScHgW
_chemical_formula_sum 'Sc1 Hg1 W1'
_symmetry_space_group_name_H-M 'P 1'
_symmetry_Int_Tables_number 1
_cell_length_a 4.921
_cell_length_b 4.921
_cell_length_c 2.780
_cell_angle_alpha 90.00
_cell_angle_beta 90.00
_cell_angle_gamma 120.00
loop_
_symmetry_equiv_pos_as_xyz
'x,y,z'
loop_
_atom_site_label
_atom_site_type_symbol
_atom_site_fract_x
_atom_site_fract_y
_atom_site_fract_z
Hg1 Hg 0.000 0.000 0.833
Sc1 Sc 0.333 0.667 0.333
W1 W 0.667 0.333 0.834
```

Entry R
First-principles (GGA-PBE) data for an optimized crystal structure of ScHgW, as listed in Alexandria.

Geometry as CIF:
```
data_ScHgW
_chemical_formula_sum 'Sc1 Hg1 W1'
_symmetry_space_group_name_H-M 'P 1'
_symmetry_Int_Tables_number 1
_cell_length_a 3.085
_cell_length_b 3.085
_cell_length_c 7.160
_cell_angle_alpha 90.00
_cell_angle_beta 90.00
_cell_angle_gamma 120.00
loop_
_symmetry_equiv_pos_as_xyz
'x,y,z'
loop_
_atom_site_label
_atom_site_type_symbol
_atom_site_fract_x
_atom_site_fract_y
_atom_site_fract_z
Sc1 Sc 0.667 0.333 0.346
W1 W 0.333 0.667 0.658
Hg1 Hg 0.000 0.000 0.996
```

Entry S
First-principles (GGA-PBE) data for an optimized crystal structure of ScHgW, as listed in Alexandria.

Geometry as CIF:
```
data_ScHgW
_chemical_formula_sum 'Sc1 Hg1 W1'
_symmetry_space_group_name_H-M 'P 1'
_symmetry_Int_Tables_number 1
_cell_length_a 5.464
_cell_length_b 5.464
_cell_length_c 5.464
_cell_angle_alpha 147.84
_cell_angle_beta 138.03
_cell_angle_gamma 53.84
loop_
_symmetry_equiv_pos_as_xyz
'x,y,z'
loop_
_atom_site_label
_atom_site_type_symbol
_atom_site_fract_x
_atom_site_fract_y
_atom_site_fract_z
W1 W 0.668 0.668 0.000
Sc1 Sc 0.329 0.329 0.000
Hg1 Hg 0.003 0.003 0.000
```

Of them, entry Q has the lowest stability.

Entry P
First-principles (GGA-PBE) data for an optimized crystal structure of YScHg, as listed in Alexandria.

Geometry as CIF:
```
data_YScHg
_chemical_formula_sum 'Y2 Sc2 Hg2'
_symmetry_space_group_name_H-M 'P 1'
_symmetry_Int_Tables_number 1
_cell_length_a 6.206
_cell_length_b 6.456
_cell_length_c 4.934
_cell_angle_alpha 112.48
_cell_angle_beta 113.39
_cell_angle_gamma 100.43
loop_
_symmetry_equiv_pos_as_xyz
'x,y,z'
loop_
_atom_site_label
_atom_site_type_symbol
_atom_site_fract_x
_atom_site_fract_y
_atom_site_fract_z
Hg1 Hg 0.905 0.403 0.871
Hg2 Hg 0.305 0.175 0.958
Y1 Y 0.361 0.507 0.651
Y2 Y 0.836 0.709 0.490
Sc1 Sc 0.343 0.908 0.343
Sc2 Sc 0.776 0.090 0.150
```

Entry Q
First-principles (GGA-PBE) data for an optimized crystal structure of YScHg, as listed in Alexandria.

Geometry as CIF:
```
data_YScHg
_chemical_formula_sum 'Y2 Sc2 Hg2'
_symmetry_space_group_name_H-M 'P 1'
_symmetry_Int_Tables_number 1
_cell_length_a 5.137
_cell_length_b 3.685
_cell_length_c 8.404
_cell_angle_alpha 89.99
_cell_angle_beta 72.14
_cell_angle_gamma 90.00
loop_
_symmetry_equiv_pos_as_xyz
'x,y,z'
loop_
_atom_site_label
_atom_site_type_symbol
_atom_site_fract_x
_atom_site_fract_y
_atom_site_fract_z
Sc1 Sc 0.315 0.065 0.082
Sc2 Sc 0.478 0.565 0.753
Hg1 Hg 0.646 0.065 0.419
Hg2 Hg 0.956 0.065 0.795
Y1 Y 0.132 0.565 0.448
Y2 Y 0.801 0.565 0.109
```

Of them, entry Q has the lowest stability.

Entry P
First-principles (GGA-PBE) data for an optimized crystal structure of YScHg, as listed in Alexandria.

Geometry as CIF:
```
data_YScHg
_chemical_formula_sum 'Y2 Sc2 Hg2'
_symmetry_space_group_name_H-M 'P 1'
_symmetry_Int_Tables_number 1
_cell_length_a 6.679
_cell_length_b 3.518
_cell_length_c 8.353
_cell_angle_alpha 77.81
_cell_angle_beta 54.55
_cell_angle_gamma 74.75
loop_
_symmetry_equiv_pos_as_xyz
'x,y,z'
loop_
_atom_site_label
_atom_site_type_symbol
_atom_site_fract_x
_atom_site_fract_y
_atom_site_fract_z
Y1 Y 0.628 0.347 0.174
Y2 Y 0.648 0.660 0.528
Sc1 Sc 0.161 0.658 0.019
Sc2 Sc 0.115 0.349 0.683
Hg1 Hg 0.638 0.004 0.851
Hg2 Hg 0.138 0.004 0.351
```

Entry Q
First-principles (GGA-PBE) data for an optimized crystal structure of YScHg, as listed in Alexandria.

Geometry as CIF:
```
data_YScHg
_chemical_formula_sum 'Y2 Sc2 Hg2'
_symmetry_space_group_name_H-M 'P 1'
_symmetry_Int_Tables_number 1
_cell_length_a 6.646
_cell_length_b 4.862
_cell_length_c 6.115
_cell_angle_alpha 66.54
_cell_angle_beta 118.70
_cell_angle_gamma 90.02
loop_
_symmetry_equiv_pos_as_xyz
'x,y,z'
loop_
_atom_site_label
_atom_site_type_symbol
_atom_site_fract_x
_atom_site_fract_y
_atom_site_fract_z
Sc1 Sc 0.695 0.199 0.056
Sc2 Sc 0.480 0.556 0.343
Y1 Y 0.882 0.834 0.786
Y2 Y 0.293 0.921 0.612
Hg1 Hg 0.937 0.537 0.380
Hg2 Hg 0.238 0.218 0.018
```

Of them, entry P has the lowest stability.

Entry P
First-principles (GGA-PBE) data for an optimized crystal structure of Y2ScHg4, as listed in Alexandria.

Geometry as CIF:
```
data_Y2ScHg4
_chemical_formula_sum 'Y2 Sc1 Hg4'
_symmetry_space_group_name_H-M 'P 1'
_symmetry_Int_Tables_number 1
_cell_length_a 4.951
_cell_length_b 4.951
_cell_length_c 9.230
_cell_angle_alpha 74.44
_cell_angle_beta 74.44
_cell_angle_gamma 60.00
loop_
_symmetry_equiv_pos_as_xyz
'x,y,z'
loop_
_atom_site_label
_atom_site_type_symbol
_atom_site_fract_x
_atom_site_fract_y
_atom_site_fract_z
Hg1 Hg 0.129 0.129 0.612
Hg2 Hg 0.871 0.871 0.388
Hg3 Hg 0.369 0.369 0.892
Hg4 Hg 0.631 0.631 0.108
Y1 Y 0.754 0.754 0.739
Y2 Y 0.246 0.246 0.261
Sc1 Sc 0.000 0.000 0.000
```

Entry Q
First-principles (GGA-PBE) data for an optimized crystal structure of Y2ScHg4, as listed in Alexandria.

Geometry as CIF:
```
data_Y2ScHg4
_chemical_formula_sum 'Y2 Sc1 Hg4'
_symmetry_space_group_name_H-M 'P 1'
_symmetry_Int_Tables_number 1
_cell_length_a 5.383
_cell_length_b 5.383
_cell_length_c 8.503
_cell_angle_alpha 108.45
_cell_angle_beta 108.45
_cell_angle_gamma 90.00
loop_
_symmetry_equiv_pos_as_xyz
'x,y,z'
loop_
_atom_site_label
_atom_site_type_symbol
_atom_site_fract_x
_atom_site_fract_y
_atom_site_fract_z
Hg1 Hg 0.500 0.000 0.000
Hg2 Hg 0.810 0.810 0.619
Hg3 Hg 0.190 0.190 0.381
Hg4 Hg 0.000 0.500 0.000
Y1 Y 0.391 0.391 0.782
Y2 Y 0.609 0.609 0.218
Sc1 Sc 0.000 0.000 0.000
```

Of them, entry Q has the lowest stability.

Entry P
First-principles (GGA-PBE) data for an optimized crystal structure of Y4ScHg, as listed in Alexandria.

Geometry as CIF:
```
data_Y4ScHg
_chemical_formula_sum 'Y4 Sc1 Hg1'
_symmetry_space_group_name_H-M 'P 1'
_symmetry_Int_Tables_number 1
_cell_length_a 6.329
_cell_length_b 6.329
_cell_length_c 6.329
_cell_angle_alpha 60.00
_cell_angle_beta 60.00
_cell_angle_gamma 60.00
loop_
_symmetry_equiv_pos_as_xyz
'x,y,z'
loop_
_atom_site_label
_atom_site_type_symbol
_atom_site_fract_x
_atom_site_fract_y
_atom_site_fract_z
Y1 Y 0.374 0.374 0.877
Y2 Y 0.374 0.374 0.374
Y3 Y 0.374 0.877 0.374
Y4 Y 0.877 0.374 0.374
Sc1 Sc 0.000 0.000 0.000
Hg1 Hg 0.750 0.750 0.750
```

Entry Q
First-principles (GGA-PBE) data for an optimized crystal structure of Y4ScHg, as listed in Alexandria.

Geometry as CIF:
```
data_Y4ScHg
_chemical_formula_sum 'Y8 Sc2 Hg2'
_symmetry_space_group_name_H-M 'P 1'
_symmetry_Int_Tables_number 1
_cell_length_a 6.230
_cell_length_b 8.923
_cell_length_c 8.222
_cell_angle_alpha 113.35
_cell_angle_beta 99.75
_cell_angle_gamma 112.71
loop_
_symmetry_equiv_pos_as_xyz
'x,y,z'
loop_
_atom_site_label
_atom_site_type_symbol
_atom_site_fract_x
_atom_site_fract_y
_atom_site_fract_z
Y1 Y 0.239 0.291 0.381
Y2 Y 0.642 0.090 0.381
Y3 Y 0.747 0.390 0.195
Y4 Y 0.761 0.709 0.619
Y5 Y 0.051 0.195 0.805
Y6 Y 0.358 0.910 0.619
Y7 Y 0.949 0.805 0.195
Y8 Y 0.253 0.610 0.805
Sc1 Sc 0.641 0.391 0.782
Sc2 Sc 0.359 0.609 0.218
Hg1 Hg 0.248 0.998 0.996
Hg2 Hg 0.752 0.002 0.004
```

Of them, entry P has the lowest stability.

Entry P
First-principles (GGA-PBE) data for an optimized crystal structure of Sc2ZnHg, as listed in Alexandria.

Geometry as CIF:
```
data_Sc2ZnHg
_chemical_formula_sum 'Sc2 Zn1 Hg1'
_symmetry_space_group_name_H-M 'P 1'
_symmetry_Int_Tables_number 1
_cell_length_a 10.709
_cell_length_b 10.709
_cell_length_c 10.709
_cell_angle_alpha 17.36
_cell_angle_beta 17.36
_cell_angle_gamma 17.36
loop_
_symmetry_equiv_pos_as_xyz
'x,y,z'
loop_
_atom_site_label
_atom_site_type_symbol
_atom_site_fract_x
_atom_site_fract_y
_atom_site_fract_z
Sc1 Sc 0.909 0.909 0.909
Sc2 Sc 0.091 0.091 0.091
Hg1 Hg 0.500 0.500 0.500
Zn1 Zn 0.000 0.000 0.000
```

Entry Q
First-principles (GGA-PBE) data for an optimized crystal structure of Sc2ZnHg, as listed in Alexandria.

Geometry as CIF:
```
data_Sc2ZnHg
_chemical_formula_sum 'Sc2 Zn1 Hg1'
_symmetry_space_group_name_H-M 'P 1'
_symmetry_Int_Tables_number 1
_cell_length_a 6.608
_cell_length_b 6.608
_cell_length_c 6.608
_cell_angle_alpha 54.43
_cell_angle_beta 151.87
_cell_angle_gamma 134.42
loop_
_symmetry_equiv_pos_as_xyz
'x,y,z'
loop_
_atom_site_label
_atom_site_type_symbol
_atom_site_fract_x
_atom_site_fract_y
_atom_site_fract_z
Sc1 Sc 0.000 0.242 0.242
Sc2 Sc 0.000 0.758 0.758
Zn1 Zn 0.000 0.000 0.000
Hg1 Hg 0.000 0.500 0.500
```

Entry R
First-principles (GGA-PBE) data for an optimized crystal structure of Sc2ZnHg, as listed in Alexandria.

Geometry as CIF:
```
data_Sc2ZnHg
_chemical_formula_sum 'Sc2 Zn1 Hg1'
_symmetry_space_group_name_H-M 'P 1'
_symmetry_Int_Tables_number 1
_cell_length_a 3.645
_cell_length_b 3.645
_cell_length_c 6.309
_cell_angle_alpha 90.00
_cell_angle_beta 90.00
_cell_angle_gamma 90.00
loop_
_symmetry_equiv_pos_as_xyz
'x,y,z'
loop_
_atom_site_label
_atom_site_type_symbol
_atom_site_fract_x
_atom_site_fract_y
_atom_site_fract_z
Sc1 Sc 0.500 0.500 0.277
Sc2 Sc 0.000 0.000 0.988
Hg1 Hg 0.500 0.500 0.750
Zn1 Zn 0.000 0.000 0.485
```

Of them, entry Q has the lowest stability.